Model a:
Compound: Mn2VOs
Source: Alexandria
Functional: GGA-PBE
Structure: relaxed

a b c (Å): 4.194 4.194 4.194
angles (deg): 60.00 60.00 60.00
Each line ends with the local moment (μB).
Positions (direct):
Mn  0.250  0.250  0.250  2.28
Mn  0.750  0.750  0.750  2.28
Os  0.500  0.500  0.500  0.01
V  0.000  0.000  0.000  -1.30

Output
DOS at the Fermi energy = 5.49 states/eV/f.u.
Volume = 13.041 Å³/atom

Model b:
Compound: Mn2VOs
Source: Alexandria
Functional: GGA-PBE
Structure: relaxed

a b c (Å): 2.929 4.225 4.225
angles (deg): 90.00 90.00 90.00
Each line ends with the local moment (μB).
Positions (direct):
Mn  0.000  0.000  0.500  2.35
Mn  0.000  0.500  0.000  2.35
Os  0.500  0.000  0.000  0.10
V  0.500  0.500  0.500  -1.53

Output
DOS at the Fermi energy = 4.82 states/eV/f.u.
Volume = 13.074 Å³/atom

List of relative energies, unit kJ/mol of atoms: model a 2.9; model b 0.0

Model a:
Compound: Mn2V2Os
Source: Alexandria
Functional: GGA-PBE
Structure: relaxed

a b c (Å): 2.952 2.942 7.565
angles (deg): 78.79 90.00 90.00
Positions (direct):
Mn  0.000  0.191  0.618
Mn  0.000  0.809  0.382
V  0.500  0.392  0.217
V  0.500  0.608  0.783
Os  0.000  0.000  0.000

Output
DOS at the Fermi energy = 4.92 states/eV/f.u.
Volume = 12.892 Å³/atom

Model b:
Compound: Mn2V2Os
Source: Alexandria
Functional: GGA-PBE
Structure: relaxed

a b c (Å): 6.667 6.667 2.865
angles (deg): 90.00 90.00 90.00
Positions (direct):
Mn  0.389  0.889  0.000
Mn  0.889  0.611  0.000
Mn  0.611  0.111  0.000
Mn  0.111  0.389  0.000
Os  0.000  0.000  0.000
Os  0.500  0.500  0.000
V  0.198  0.698  0.500
V  0.698  0.802  0.500
V  0.802  0.302  0.500
V  0.302  0.198  0.500

Output
DOS at the Fermi energy = 6.86 states/eV/f.u.
Volume = 12.733 Å³/atom

List of relative energies, unit kJ/mol of atoms: model a 0.0; model b 7.4

Model a:
Compound: MnV3Os
Source: Alexandria
Functional: GGA-PBE
Structure: relaxed

a b c (Å): 4.878 4.843 7.077
angles (deg): 67.17 69.79 59.76
Positions (direct):
Mn  0.988  0.213  0.729
Mn  0.077  0.729  0.033
V  0.911  0.179  0.426
V  0.572  0.253  0.029
V  0.332  0.591  0.664
V  0.063  0.252  0.028
V  0.907  0.695  0.409
V  0.403  0.178  0.427
Os  0.489  0.717  0.223
Os  0.641  0.843  0.793

Output
DOS at the Fermi energy = 5.23 states/eV/f.u.
Volume = 13.076 Å³/atom

Model b:
Compound: MnV3Os
Source: Alexandria
Functional: GGA-PBE
Structure: relaxed

a b c (Å): 2.478 4.366 12.372
angles (deg): 90.00 95.75 90.00
Each line ends with the local moment (μB).
Positions (direct):
Mn  0.222  0.750  0.445  1.16
Mn  0.778  0.250  0.555  1.16
V  0.628  0.750  0.255  -0.23
V  0.372  0.250  0.745  -0.23
V  0.525  0.750  0.050  -0.32
V  0.475  0.250  0.950  -0.32
V  0.685  0.250  0.370  -0.44
V  0.315  0.750  0.630  -0.44
Os  0.922  0.750  0.843  -0.05
Os  0.078  0.250  0.157  -0.05

Output
DOS at the Fermi energy = 6.08 states/eV/f.u.
Volume = 13.315 Å³/atom

List of relative energies, unit kJ/mol of atoms: model a 0.0; model b 17.3

Model a:
Compound: MnV4Os
Source: Alexandria
Functional: GGA-PBE
Structure: relaxed

a b c (Å): 4.185 4.171 4.944
angles (deg): 90.00 115.04 90.00
Positions (direct):
Mn  0.500  0.500  0.000
V  0.335  0.000  0.670
V  0.665  0.000  0.330
V  0.834  0.500  0.668
V  0.166  0.500  0.332
Os  0.000  0.000  0.000

Output
DOS at the Fermi energy = 2.64 states/eV/f.u.
Volume = 13.032 Å³/atom

Model b:
Compound: MnV4Os
Source: Alexandria
Functional: GGA-PBE
Structure: relaxed

a b c (Å): 3.906 4.114 5.793
angles (deg): 84.63 89.99 90.00
Positions (direct):
Mn  0.001  0.997  0.498
V  0.501  0.973  0.262
V  0.501  0.022  0.734
V  0.001  0.516  0.732
V  0.001  0.479  0.265
Os  0.501  0.497  0.998

Output
DOS at the Fermi energy = 5.60 states/eV/f.u.
Volume = 15.447 Å³/atom

List of relative energies, unit kJ/mol of atoms: model a 0.0; model b 62.0

Model a:
Compound: MnOs2W
Source: Alexandria
Functional: GGA-PBE
Structure: relaxed

a b c (Å): 4.641 4.641 4.752
angles (deg): 80.28 80.28 34.32
Each line ends with the local moment (μB).
Positions (direct):
Mn  0.750  0.750  0.750  1.35
Os  0.005  0.005  0.982  -0.03
Os  0.495  0.495  0.518  -0.03
W  0.250  0.250  0.250  -0.10

Output
DOS at the Fermi energy = 3.97 states/eV/f.u.
Volume = 14.196 Å³/atom

Model b:
Compound: MnOs2W
Source: Alexandria
Functional: GGA-PBE
Structure: relaxed

a b c (Å): 8.957 8.957 8.957
angles (deg): 17.55 17.55 17.55
Each line ends with the local moment (μB).
Positions (direct):
Mn  0.750  0.750  0.750  1.60
Os  0.005  0.005  0.005  -0.05
Os  0.495  0.495  0.495  -0.05
W  0.250  0.250  0.250  0.00

Output
DOS at the Fermi energy = 2.91 states/eV/f.u.
Volume = 14.249 Å³/atom

List of relative energies, unit kJ/mol of atoms: model a 0.0; model b 4.7

Model a:
Compound: MnOs2W
Source: Alexandria
Functional: GGA-PBE
Structure: relaxed

a b c (Å): 4.723 4.723 4.723
angles (deg): 132.12 132.12 70.05
Each line ends with the local moment (μB).
Positions (direct):
Mn  0.750  0.250  0.500  1.87
Os  0.000  0.000  0.000  -0.16
Os  0.250  0.750  0.500  -0.06
W  0.500  0.500  0.000  -0.17

Output
DOS at the Fermi energy = 3.94 states/eV/f.u.
Volume = 14.213 Å³/atom

Model b:
Compound: MnOs2W
Source: Alexandria
Functional: GGA-PBE
Structure: relaxed

a b c (Å): 4.180 2.707 5.303
angles (deg): 74.22 90.00 90.00
Each line ends with the local moment (μB).
Positions (direct):
Mn  0.500  0.750  0.750  2.40
Os  0.000  0.901  0.984  0.02
Os  0.000  0.599  0.516  0.02
W  0.500  0.250  0.250  -0.13

Output
DOS at the Fermi energy = 4.36 states/eV/f.u.
Volume = 14.438 Å³/atom

Model c:
Compound: MnOs2W
Source: Alexandria
Functional: GGA-PBE
Structure: relaxed

a b c (Å): 3.111 3.111 6.028
angles (deg): 90.00 90.00 90.00
Each line ends with the local moment (μB).
Positions (direct):
Mn  0.500  0.500  0.750  3.27
Os  0.000  0.000  0.989  0.20
Os  0.000  0.000  0.511  0.20
W  0.500  0.500  0.250  0.03

Output
DOS at the Fermi energy = 2.76 states/eV/f.u.
Volume = 14.586 Å³/atom

List of relative energies, unit kJ/mol of atoms: model a 0.0; model b 13.3; model c 7.8